CeAlHg: relaxed, GGA-PBE.

The value obtained for the formation energy is -1.1 eV per formula unit. The value obtained for the energy relative to the lowest polymorph listed for this composition is 1 meV/atom.

It has space group P-6m2 (No. 187), with a = 4.7688 Å, b = 4.7688 Å, c = 3.6296 Å, α = 90.00°, β = 90.00° and γ = 120.00°. The inequivalent atoms are Ce at (0.0000, 0.0000, 0.0000), Al at (0.3333, 0.6667, 0.5000) and Hg at (0.6667, 0.3333, 0.5000).